Entry from Alexandria via LeMat-Bulk: a relaxed structure of ZnSn3N (PBE).

CIF file:
```
data_ZnSn3N
_chemical_formula_sum 'Zn1 Sn3 N1'
_cell_length_a 4.7939
_cell_length_b 4.7939
_cell_length_c 4.7939
_cell_angle_alpha 90.00
_cell_angle_beta 90.00
_cell_angle_gamma 90.00
_space_group_name_H-M_alt 'P m -3 m'
_space_group_IT_number 221
_space_group_name_Hall '-P 4 2 3'
loop_
_atom_site_label
_atom_site_type_symbol
_atom_site_fract_x
_atom_site_fract_y
_atom_site_fract_z
Zn1 Zn 0.0000 0.0000 0.0000
Sn1 Sn 0.0000 0.5000 0.5000
N1 N 0.5000 0.5000 0.5000
```

The value obtained for the total energy is -18.838 eV for the cell shown. Its calculated volume is 22.035 Å³ per atom.